Record 1
Density functional theory data (PBE) for a relaxed structure of Y2MnVRu.

Output
Uncorrected energy, eV per cell: -34.86
Space-group type: P4/mmm (123)

Cell: 5.183 5.183 4.280 Å, 90.00 90.00 90.00°
Fractional coordinates of all 5 atoms:
Y  0.000  0.500  0.000
Y  0.500  0.000  0.000
Mn  0.000  0.000  0.500
V  0.500  0.500  0.000
Ru  0.500  0.500  0.500

Record 2
Density functional theory data (PBE) for a relaxed structure of Mn2RuW.

Output
E above lowest polymorph, meV per atom: 69
Uncorrected energy, eV per cell: -40.02
Space-group type: Cm (8)

Cell: 4.633 4.633 4.556 Å, 100.57 100.57 33.85°
Fractional coordinates of all 4 atoms:
Mn  0.000  0.000  0.000
Mn  0.738  0.738  0.226
Ru  0.257  0.257  0.760
W  0.496  0.496  0.492

Record 3
Density functional theory data (PBE) for a relaxed structure of MnRuW2.

Output
E above lowest polymorph, meV per atom: 88
Uncorrected energy, eV per cell: -43.64
Space-group type: Cm (8)

Cell: 4.768 4.768 4.706 Å, 100.91 100.91 33.87°
Fractional coordinates of all 4 atoms:
Mn  0.000  0.000  0.000
Ru  0.267  0.267  0.722
W  0.513  0.513  0.511
W  0.744  0.744  0.201

Record 4
Density functional theory data (PBE) for a relaxed structure of MnRuW2.

Output
E above lowest polymorph, meV per atom: 94
Uncorrected energy, eV per cell: -43.61
Space-group type: Cmmm (65)

Cell: 2.710 2.710 8.349 Å, 90.00 90.00 107.74°
Fractional coordinates of all 4 atoms:
Mn  0.000  0.000  0.000
Ru  0.000  0.000  0.500
W  0.500  0.500  0.241
W  0.500  0.500  0.759

Record 5
Density functional theory data (PBE) for a relaxed structure of MnRu2W.

Output
E above lowest polymorph, meV per atom: 92
Uncorrected energy, eV per cell: -40.29
Space-group type: P2/m (10)

Cell: 4.642 2.732 4.688 Å, 90.00 109.26 90.00°
Fractional coordinates of all 4 atoms:
Mn  0.000  0.000  0.000
Ru  0.500  0.000  0.500
Ru  0.500  0.500  0.000
W  0.000  0.500  0.500

Record 6
Density functional theory data (PBE) for a relaxed structure of Mn2RuW.

Output
E above lowest polymorph, meV per atom: 14
Uncorrected energy, eV per cell: -40.24
Space-group type: P4/mmm (123)

Cell: 4.171 4.171 3.127 Å, 90.00 90.00 90.00°
Fractional coordinates of all 4 atoms:
Mn  0.000  0.500  0.000
Mn  0.500  0.000  0.000
Ru  0.000  0.000  0.500
W  0.500  0.500  0.500

Record 7
Density functional theory data (PBE) for a relaxed structure of Mn3RuW.

Output
E above lowest polymorph, meV per atom: 0
Uncorrected energy, eV per cell: -40.50
Space-group type: Pm-3m (221)

Cell: 4.303 4.303 4.303 Å, 90.00 90.00 90.00°
Fractional coordinates of all 5 atoms:
Mn  0.000  0.000  0.500
Mn  0.000  0.500  0.000
Mn  0.500  0.000  0.000
Ru  0.000  0.000  0.000
W  0.500  0.500  0.500

Record 8
Density functional theory data (PBE) for a relaxed structure of Mn2Ru2W.

Output
E above lowest polymorph, meV per atom: 0
Uncorrected energy, eV per cell: -98.28
Space-group type: P4/mbm (127)

Cell: 7.000 7.000 2.714 Å, 90.00 90.00 90.00°
Fractional coordinates of all 10 atoms:
Mn  0.120  0.380  0.000
Mn  0.380  0.880  0.000
Mn  0.620  0.120  0.000
Mn  0.880  0.620  0.000
Ru  0.174  0.674  0.500
Ru  0.326  0.174  0.500
Ru  0.674  0.826  0.500
Ru  0.826  0.326  0.500
W  0.000  0.000  0.000
W  0.500  0.500  0.000

Record 9
Density functional theory data (PBE) for a relaxed structure of MnRu2W.

Output
E above lowest polymorph, meV per atom: 46
Uncorrected energy, eV per cell: -40.47
Space-group type: I-4m2 (119)

Cell: 4.730 4.730 4.730 Å, 132.65 132.65 69.20°
Fractional coordinates of all 4 atoms:
Mn  0.000  0.000  0.000
Ru  0.250  0.750  0.500
Ru  0.500  0.500  0.000
W  0.750  0.250  0.500

Record 10
Density functional theory data (PBE) for a relaxed structure of Mn2RuW.

Output
E above lowest polymorph, meV per atom: 3
Uncorrected energy, eV per cell: -40.29
Space-group type: F-43m (216)

Cell: 4.256 4.256 4.256 Å, 60.00 60.00 60.00°
Fractional coordinates of all 4 atoms:
Mn  0.000  0.000  0.000
Mn  0.250  0.250  0.250
Ru  0.500  0.500  0.500
W  0.750  0.750  0.750

Record 11
Density functional theory data (PBE) for a relaxed structure of MnRu4W.

Output
Uncorrected energy, eV per cell: -56.86
Space-group type: F-43m (216)

Cell: 5.047 5.047 5.047 Å, 60.00 60.00 60.00°
Fractional coordinates of all 6 atoms:
Mn  0.000  0.000  0.000
Ru  0.375  0.375  0.375
Ru  0.375  0.375  0.876
Ru  0.375  0.876  0.375
Ru  0.876  0.375  0.375
W  0.750  0.750  0.750

Record 12
Density functional theory data (PBE) for a relaxed structure of MnRu2W.

Output
E above lowest polymorph, meV per atom: 162
Uncorrected energy, eV per cell: -40.01
Space-group type: R-3m (166)

Cell: 8.906 8.906 8.906 Å, 17.61 17.61 17.61°
Fractional coordinates of all 4 atoms:
Mn  0.000  0.000  0.000
Ru  0.254  0.254  0.254
Ru  0.746  0.746  0.746
W  0.500  0.500  0.500